[1]
VASP calculation (PBE) on an optimized crystal structure of Ac2HgBPt6.

Geometry as POSCAR:
```
Ac2HgBPt6
1.0
5.810 0.000 0.000
0.000 8.959 0.000
0.000 0.000 7.917
Ac Hg B Pt
4 2 2 12
Direct
0.250 0.027 0.218
0.250 0.473 0.218
0.750 0.527 0.782
0.750 0.973 0.782
0.250 0.750 0.820
0.750 0.250 0.180
0.250 0.250 0.687
0.750 0.750 0.313
0.012 0.250 0.893
0.013 0.750 0.501
0.250 0.007 0.612
0.250 0.493 0.612
0.487 0.750 0.501
0.488 0.250 0.893
0.512 0.750 0.107
0.513 0.250 0.499
0.750 0.507 0.388
0.750 0.993 0.388
0.987 0.250 0.499
0.988 0.750 0.107
```

Properties
Space group ... No. 59
Energy relative to the elements ... -17.84 kcal/mol of atoms
Calculated total energy ... -5.918 eV per atom



[2]
VASP calculation (PBE) on an optimized crystal structure of TmCuI.

Geometry as POSCAR:
```
TmCuI
1.0
3.563 -2.057 0.000
3.563 2.057 0.000
-2.398 0.000 11.944
Tm Cu I
2 2 2
Direct
0.000 0.000 0.000
0.101 0.101 0.298
0.384 0.384 0.149
0.717 0.717 0.149
0.608 0.608 0.826
0.826 0.826 0.472
```

Properties
Space group ... No. 8
Calculated total energy ... -4.136 eV per atom



[3]
VASP calculation (PBE) on an optimized crystal structure of Na4Pm3AsS8.

Geometry as POSCAR:
```
Na4Pm3AsS8
1.0
4.028 2.326 6.685
-4.028 2.326 6.685
0.000 -4.651 6.685
Na Pm As S
4 3 1 8
Direct
0.000 0.000 0.000
0.000 0.500 0.500
0.500 0.000 0.500
0.500 0.500 0.000
0.000 0.000 0.500
0.000 0.500 0.000
0.500 0.000 0.000
0.500 0.500 0.500
0.245 0.245 0.245
0.259 0.733 0.733
0.267 0.267 0.741
0.267 0.741 0.267
0.733 0.259 0.733
0.733 0.733 0.259
0.741 0.267 0.267
0.755 0.755 0.755
```

Properties
Space group ... No. 166
Calculated total energy ... -5.041 eV per atom



[4]
VASP calculation (PBE) on an optimized crystal structure of PrEuSnPb.

Geometry as POSCAR:
```
PrEuSnPb
1.0
0.000 3.955 3.955
3.955 0.000 3.955
3.955 3.955 0.000
Pr Eu Sn Pb
1 1 1 1
Direct
0.000 0.000 0.000
0.500 0.500 0.500
0.250 0.250 0.250
0.750 0.750 0.750
```

Properties
Space group ... No. 216
Energy relative to the elements ... -12.37 kcal/mol of atoms
Calculated total energy ... -6.227 eV per atom



[5]
VASP calculation (PBE) on an optimized crystal structure of NaPtC2O6.

Geometry as POSCAR:
```
NaPtC2O6
1.0
2.425 1.400 5.563
-2.425 1.400 5.563
0.000 -2.800 5.563
Na Pt C O
1 1 2 6
Direct
0.000 0.000 0.000
0.500 0.500 0.500
0.239 0.239 0.239
0.761 0.761 0.761
0.034 0.499 0.744
0.256 0.966 0.501
0.499 0.744 0.034
0.501 0.256 0.966
0.744 0.034 0.499
0.966 0.501 0.256
```

Properties
Space group ... No. 148
Calculated total energy ... -6.683 eV per atom



[6]
VASP calculation (PBE) on an optimized crystal structure of Tb3Tm3In2.

Geometry as POSCAR:
```
Tb3Tm3In2
1.0
4.821 0.000 0.000
0.000 4.822 0.000
0.000 0.000 9.646
Tb Tm In
3 3 2
Direct
0.000 0.000 0.000
0.000 0.000 0.500
0.500 0.500 0.000
0.000 0.500 0.251
0.000 0.500 0.749
0.500 0.500 0.500
0.500 0.000 0.252
0.500 0.000 0.748
```

Properties
Space group ... No. 47
Energy relative to the elements ... -6.07 kcal/mol of atoms
Calculated total energy ... -4.361 eV per atom



[7]
VASP calculation (PBE) on an optimized crystal structure of Ba4LiCa.

Geometry as POSCAR:
```
Ba4LiCa
1.0
0.000 5.591 5.591
5.591 0.000 5.591
5.591 5.591 0.000
Ba Li Ca
4 1 1
Direct
0.125 0.125 0.125
0.125 0.125 0.625
0.125 0.625 0.125
0.625 0.125 0.125
0.500 0.500 0.500
0.750 0.750 0.750
```

Properties
ΔE to the lowest computed polymorph ... 1.684 eV per formula unit
Space group ... No. 216
Energy relative to the elements ... 7.23 kcal/mol of atoms
Calculated total energy ... -1.621 eV per atom



[8]
VASP calculation (PBE) on an optimized crystal structure of BiIrSN2.

Geometry as POSCAR:
```
BiIrSN2
1.0
4.185 0.000 0.000
0.000 4.185 0.000
0.000 0.000 5.438
Bi Ir S N
1 1 1 2
Direct
0.000 0.000 0.000
0.500 0.500 0.500
0.000 0.000 0.500
0.000 0.500 0.000
0.500 0.000 0.000
```

Properties
ΔE to the lowest computed polymorph ... 7.384 eV per formula unit
Space group ... No. 123
Calculated total energy ... -4.399 eV per atom



[9]
VASP calculation (PBE) on an optimized crystal structure of Cs2AuF.

Geometry as POSCAR:
```
Cs2AuF
1.0
8.309 0.000 0.000
0.000 4.969 0.000
0.000 0.000 15.354
Cs Au F
8 4 4
Direct
0.144 0.250 0.246
0.195 0.250 0.525
0.305 0.750 0.025
0.356 0.750 0.746
0.644 0.250 0.254
0.695 0.250 0.975
0.805 0.750 0.475
0.856 0.750 0.754
0.108 0.250 0.865
0.392 0.750 0.365
0.608 0.250 0.635
0.892 0.750 0.135
0.081 0.750 0.608
0.419 0.250 0.108
0.581 0.750 0.892
0.919 0.250 0.392
```

Properties
ΔE to the lowest computed polymorph ... 0.000 eV per formula unit
Space group ... No. 62
Calculated total energy ... -3.185 eV per atom



[10]
VASP calculation (PBE) on an optimized crystal structure of LaAsIO2.

Geometry as POSCAR:
```
LaAsIO2
1.0
4.336 0.000 0.000
0.000 4.336 0.000
0.000 0.000 5.434
La As I O
1 1 1 2
Direct
0.000 0.000 0.000
0.500 0.500 0.500
0.500 0.500 0.000
0.000 0.500 0.500
0.500 0.000 0.500
```

Properties
Space group ... No. 123
Calculated total energy ... -4.909 eV per atom



[11]
VASP calculation (PBE) on an optimized crystal structure of LiMgCu2Ag.

Geometry as POSCAR:
```
LiMgCu2Ag
1.0
4.742 0.000 0.000
0.000 4.742 0.000
0.000 0.000 4.985
Li Mg Cu Ag
1 1 2 1
Direct
0.000 0.000 0.000
0.500 0.500 0.500
0.000 0.500 0.500
0.500 0.000 0.500
0.500 0.500 0.000
```

Properties
Space group ... No. 123
Energy relative to the elements ... 14.37 kcal/mol of atoms
Calculated total energy ... -2.287 eV per atom



[12]
VASP calculation (PBE) on an optimized crystal structure of Tm2AlCu3.

Geometry as POSCAR:
```
Tm2AlCu3
1.0
0.000 4.316 7.520
3.418 0.000 7.520
3.418 4.316 0.000
Tm Al Cu
4 2 6
Direct
0.243 0.757 0.757
0.250 0.250 0.250
0.750 0.750 0.750
0.757 0.243 0.243
0.334 0.334 0.666
0.666 0.666 0.334
0.167 0.167 0.833
0.169 0.665 0.335
0.335 0.831 0.169
0.665 0.169 0.831
0.831 0.335 0.665
0.833 0.833 0.167
```

Properties
ΔE to the lowest computed polymorph ... 0.000 eV per formula unit
Space group ... No. 69
Energy relative to the elements ... -6.98 kcal/mol of atoms
Calculated total energy ... -4.465 eV per atom